No. 1
Below is an optimized crystal structure of Ac8Ru2Rh3, with properties calculated at the GGA-PBE level.

Geometry as POSCAR:
```
Ac8Ru2Rh3
1.0
-3.5336 -6.1754 -1.3988
5.8910 -6.2516 -0.7019
1.4058 -5.3426 6.6151
Ac Ru Rh
8 2 3
Direct
0.7754 0.6262 0.6262
0.2246 0.3738 0.3738
0.7557 0.1218 0.1218
0.2443 0.8782 0.8782
0.7615 0.6298 0.1154
0.7615 0.1154 0.6298
0.2385 0.8846 0.3702
0.2385 0.3702 0.8846
0.9622 0.2580 0.2580
0.0378 0.7420 0.7420
0.5000 0.0000 0.0000
0.0000 0.2542 0.7458
0.0000 0.7458 0.2542
```

Results
Total magnetization = 0.0 μB per formula unit
Formation enthalpy at 0 K = -0.425 eV per atom

No. 2
Below is an optimized crystal structure of Ac5Ru2Rh, with properties calculated at the GGA-PBE level.

Geometry as POSCAR:
```
Ac5Ru2Rh
1.0
-4.6352 -2.5689 2.3593
3.7702 -4.4475 -4.5671
8.1758 -4.5152 11.1463
Ac Ru Rh
10 4 2
Direct
0.3312 0.6623 0.4355
0.3312 0.6623 0.0645
0.0474 0.0948 0.3811
0.0474 0.0948 0.1189
0.2496 0.4992 0.7500
0.7504 0.5008 0.2500
0.9526 0.9052 0.8811
0.9526 0.9052 0.6189
0.6688 0.3377 0.5645
0.6688 0.3377 0.9355
0.1442 0.2884 0.9371
0.1442 0.2884 0.5629
0.8558 0.7116 0.4371
0.8558 0.7116 0.0629
0.2068 0.4136 0.2500
0.7932 0.5864 0.7500
```

Results
Total magnetization = 0.0 μB per formula unit
Formation enthalpy at 0 K = -0.245 eV per atom

No. 3
Below is an optimized crystal structure of Ac6RuRh3, with properties calculated at the GGA-PBE level.

Geometry as POSCAR:
```
Ac6RuRh3
1.0
-2.2599 -5.8786 3.7433
7.0469 -0.4163 3.6006
-3.6148 6.6704 7.8460
Ac Ru Rh
12 2 6
Direct
0.6760 0.1757 0.9180
0.6691 0.1789 0.5672
0.6619 0.4343 0.2498
0.3381 0.5657 0.7502
0.3309 0.8211 0.4328
0.3240 0.8243 0.0820
0.1760 0.3243 0.4180
0.1691 0.3211 0.0672
0.1619 0.0657 0.7498
0.8381 0.9343 0.2502
0.8309 0.6789 0.9328
0.8240 0.6757 0.5820
0.5000 0.5000 0.5000
0.0000 0.0000 0.0000
0.5314 0.8998 0.7279
0.5000 0.5000 0.0000
0.4686 0.1002 0.2721
0.0314 0.6002 0.2279
0.0000 0.0000 0.5000
0.9686 0.3998 0.7721
```

Results
Total magnetization = 0.0 μB per formula unit
Polymorph energy (0 for the lowest one) = 7.0 meV per atom
Formation enthalpy at 0 K = -0.467 eV per atom

No. 4
Below is an optimized crystal structure of Ac4RuRh2, with properties calculated at the GGA-PBE level.

Geometry as POSCAR:
```
Ac4RuRh2
1.0
4.3262 0.0000 -1.1294
-0.8112 6.7889 -3.1074
-0.2674 -0.6534 7.8263
Ac Ru Rh
4 1 2
Direct
0.1313 0.4620 0.2626
0.8687 0.5380 0.7374
0.3776 0.0422 0.7552
0.6224 0.9578 0.2448
0.0000 0.0000 0.0000
0.2432 0.2432 0.4863
0.7568 0.7568 0.5137
```

Results
Total magnetization = 0.0 μB per formula unit
Formation enthalpy at 0 K = -0.474 eV per atom